*P*
Here is a relaxed structure of GdCdH from Alexandria via LeMat-Bulk. Energies are from PBE.

For the size of the total moment, the calculation gives 7.873 μB per cell. The symmetry is P3m1.

a = 3.749 Å, b = 3.749 Å, c = 5.082 Å
α = 90.00°, β = 90.00°, γ = 120.00°
Site moments in Bohr magnetons follow the coordinates.
Fractional coordinates of all 3 atoms:
H1 0.333 0.667 0.501  -0.01
Cd1 0.000 0.000 0.999  0.06
Gd1 0.667 0.333 0.499  7.25

---

*Q*
Here is a relaxed structure of GdCdH from Alexandria via LeMat-Bulk. Energies are from PBE.

For the size of the total moment, the calculation gives 15.538 μB per cell. The symmetry is Cmcm.

a = 3.265 Å, b = 5.640 Å, c = 6.521 Å
α = 90.00°, β = 90.00°, γ = 106.82°
Site moments in Bohr magnetons follow the coordinates.
Fractional coordinates of all 6 atoms:
H1 0.462 0.923 0.250  -0.01
H2 0.538 0.077 0.750  -0.01
Gd1 0.000 0.000 0.000  7.39
Gd2 0.000 0.000 0.500  7.39
Cd1 0.727 0.454 0.250  0.01
Cd2 0.273 0.546 0.750  0.01

---

Most stable structure, least stable structure: *P*, *Q*.

---

*P*
Here is a relaxed structure of Gd2CdHg from Alexandria via LeMat-Bulk. Energies are from PBE.

For the size of the total moment, the calculation gives 15.024 μB per cell. The symmetry is Fm-3m.

a = 5.318 Å, b = 5.318 Å, c = 5.318 Å
α = 60.00°, β = 60.00°, γ = 60.00°
Site moments in Bohr magnetons follow the coordinates.
Fractional coordinates of all 4 atoms:
Gd1 0.750 0.750 0.750  7.20
Gd2 0.250 0.250 0.250  7.20
Hg1 0.000 0.000 0.000  0.01
Cd1 0.500 0.500 0.500  0.00

---

*Q*
Here is a relaxed structure of Gd2CdHg from Alexandria via LeMat-Bulk. Energies are from PBE.

For the size of the total moment, the calculation gives 15.164 μB per cell. The symmetry is R-3m.

a = 3.717 Å, b = 3.717 Å, c = 9.864 Å
α = 79.14°, β = 79.14°, γ = 60.00°
Site moments in Bohr magnetons follow the coordinates.
Fractional coordinates of all 4 atoms:
Gd1 0.252 0.252 0.245  7.20
Gd2 0.748 0.748 0.755  7.20
Hg1 0.000 0.000 0.000  0.01
Cd1 0.500 0.500 0.500  0.01

---

Most stable structure, least stable structure: *P*, *Q*.

---

*P*
Here is a relaxed structure of GdHoCd from Alexandria via LeMat-Bulk. Energies are from PBE.

For the size of the total moment, the calculation gives 8.169 μB per cell. The symmetry is I4mm.

a = 3.357 Å, b = 3.357 Å, c = 9.237 Å
α = 100.47°, β = 100.47°, γ = 90.00°
Site moments in Bohr magnetons follow the coordinates.
Fractional coordinates of all 3 atoms:
Cd1 0.949 0.949 0.897  0.03
Ho1 0.771 0.771 0.542  0.22
Gd1 0.130 0.130 0.261  7.38

---

*Q*
Here is a relaxed structure of GdHoCd from Alexandria via LeMat-Bulk. Energies are from PBE.

For the size of the total moment, the calculation gives 7.397 μB per cell. The symmetry is P3m1.

a = 3.541 Å, b = 5.269 Å, c = 5.269 Å
α = 120.00°, β = 90.00°, γ = 90.00°
Site moments in Bohr magnetons follow the coordinates.
Fractional coordinates of all 3 atoms:
Cd1 0.690 0.667 0.333  0.01
Ho1 0.936 0.000 0.000  -0.04
Gd1 0.374 0.333 0.667  -7.14

---

Most stable structure, least stable structure: *Q*, *P*.

---

*P*
Here is a relaxed structure of Gd2CdIn from Alexandria via LeMat-Bulk. Energies are from PBE.

For the size of the total moment, the calculation gives 14.953 μB per cell. The symmetry is P4/mmm.

a = 3.772 Å, b = 5.355 Å, c = 5.355 Å
α = 90.00°, β = 90.00°, γ = 90.00°
Site moments in Bohr magnetons follow the coordinates.
Fractional coordinates of all 4 atoms:
In1 0.500 0.500 0.500  -0.03
Gd1 0.000 0.000 0.500  7.20
Gd2 0.000 0.500 0.000  7.20
Cd1 0.500 0.000 0.000  0.00

---

*Q*
Here is a relaxed structure of Gd2CdIn from Alexandria via LeMat-Bulk. Energies are from PBE.

For the size of the total moment, the calculation gives 14.712 μB per cell. The symmetry is R-3m.

a = 3.698 Å, b = 3.698 Å, c = 10.084 Å
α = 79.44°, β = 79.44°, γ = 60.00°
Site moments in Bohr magnetons follow the coordinates.
Fractional coordinates of all 4 atoms:
Gd1 0.250 0.250 0.251  7.13
Gd2 0.750 0.750 0.749  7.13
In1 0.500 0.500 0.500  -0.04
Cd1 0.000 0.000 0.000  0.01

---

Most stable structure, least stable structure: *P*, *Q*.

---

*P*
Here is a relaxed structure of GdCdIn2 from Alexandria via LeMat-Bulk. Energies are from PBE.

For the size of the total moment, the calculation gives 7.134 μB per cell. The symmetry is P4/mmm.

a = 4.578 Å, b = 4.658 Å, c = 4.658 Å
α = 90.00°, β = 90.00°, γ = 90.00°
Site moments in Bohr magnetons follow the coordinates.
Fractional coordinates of all 4 atoms:
Cd1 0.500 0.000 0.000  -0.01
In1 0.000 0.000 0.500  -0.02
In2 0.000 0.500 0.000  -0.02
Gd1 0.500 0.500 0.500  7.05

---

*Q*
Here is a relaxed structure of GdCdIn2 from Alexandria via LeMat-Bulk. Energies are from PBE.

For the size of the total moment, the calculation gives 7.766 μB per cell. The symmetry is P4/mmm.

a = 3.685 Å, b = 3.685 Å, c = 7.560 Å
α = 90.00°, β = 90.00°, γ = 90.00°
Site moments in Bohr magnetons follow the coordinates.
Fractional coordinates of all 4 atoms:
In1 0.000 0.000 0.226  0.01
In2 0.000 0.000 0.774  0.01
Gd1 0.500 0.500 0.500  7.29
Cd1 0.500 0.500 0.000  0.02

---

Most stable structure, least stable structure: *P*, *Q*.

---

*P*
Here is a relaxed structure of Li2GdCd from Alexandria via LeMat-Bulk. Energies are from PBE.

For the size of the total moment, the calculation gives 8.763 μB per cell. The symmetry is P4/mmm.

a = 4.891 Å, b = 4.465 Å, c = 4.465 Å
α = 90.00°, β = 90.00°, γ = 90.00°
Site moments in Bohr magnetons follow the coordinates.
Fractional coordinates of all 4 atoms:
Li1 0.000 0.500 0.000  -0.05
Li2 0.000 0.000 0.500  -0.05
Cd1 0.500 0.000 0.000  -0.08
Gd1 0.500 0.500 0.500  -7.46

---

*Q*
Here is a relaxed structure of Li2GdCd from Alexandria via LeMat-Bulk. Energies are from PBE.

For the size of the total moment, the calculation gives 7.805 μB per cell. The symmetry is Fm-3m.

a = 4.930 Å, b = 4.930 Å, c = 4.930 Å
α = 60.00°, β = 60.00°, γ = 60.00°
Site moments in Bohr magnetons follow the coordinates.
Fractional coordinates of all 4 atoms:
Cd1 0.000 0.000 0.000  0.02
Li1 0.250 0.250 0.250  0.04
Li2 0.750 0.750 0.750  0.04
Gd1 0.500 0.500 0.500  7.24

---

*R*
Here is a relaxed structure of Li2GdCd from Alexandria via LeMat-Bulk. Energies are from PBE.

For the size of the total moment, the calculation gives 7.729 μB per cell. The symmetry is P4/mmm.

a = 3.538 Å, b = 3.538 Å, c = 7.074 Å
α = 90.00°, β = 90.00°, γ = 90.00°
Site moments in Bohr magnetons follow the coordinates.
Fractional coordinates of all 4 atoms:
Li1 0.000 0.000 0.801  -0.01
Li2 0.000 0.000 0.199  -0.01
Cd1 0.500 0.500 0.000  0.00
Gd1 0.500 0.500 0.500  -7.33

---

Most stable structure, least stable structure: *Q*, *P*.

---

*P*
Here is a relaxed structure of GdLu2Cd from Alexandria via LeMat-Bulk. Energies are from PBE.

For the size of the total moment, the calculation gives 7.539 μB per cell. The symmetry is P4/mmm.

a = 3.524 Å, b = 3.524 Å, c = 9.024 Å
α = 90.00°, β = 90.00°, γ = 90.00°
Site moments in Bohr magnetons follow the coordinates.
Fractional coordinates of all 4 atoms:
Gd1 0.500 0.500 0.500  7.20
Cd1 0.500 0.500 0.000  0.00
Lu1 0.000 0.000 0.224  0.03
Lu2 0.000 0.000 0.776  0.03

---

*Q*
Here is a relaxed structure of GdLu2Cd from Alexandria via LeMat-Bulk. Energies are from PBE.

For the size of the total moment, the calculation gives 7.800 μB per cell. The symmetry is Fm-3m.

a = 5.371 Å, b = 5.371 Å, c = 5.371 Å
α = 60.00°, β = 60.00°, γ = 60.00°
Site moments in Bohr magnetons follow the coordinates.
Fractional coordinates of all 4 atoms:
Lu1 0.250 0.250 0.250  0.13
Lu2 0.750 0.750 0.750  0.13
Cd1 0.500 0.500 0.500  -0.02
Gd1 0.000 0.000 0.000  7.30

---

Most stable structure, least stable structure: *P*, *Q*.

---

*P*
Here is a relaxed structure of Gd2MnCd from Alexandria via LeMat-Bulk. Energies are from PBE.

For the size of the total moment, the calculation gives 11.188 μB per cell. The symmetry is P4/mmm.

a = 3.619 Å, b = 5.260 Å, c = 5.260 Å
α = 90.00°, β = 90.00°, γ = 90.00°
Site moments in Bohr magnetons follow the coordinates.
Fractional coordinates of all 4 atoms:
Gd1 0.000 0.000 0.500  -7.25
Gd2 0.000 0.500 0.000  -7.25
Mn1 0.500 0.500 0.500  3.66
Cd1 0.500 0.000 0.000  -0.01

---

*Q*
Here is a relaxed structure of Gd2MnCd from Alexandria via LeMat-Bulk. Energies are from PBE.

For the size of the total moment, the calculation gives 17.915 μB per cell. The symmetry is Fm-3m.

a = 5.236 Å, b = 5.236 Å, c = 5.236 Å
α = 60.00°, β = 60.00°, γ = 60.00°
Site moments in Bohr magnetons follow the coordinates.
Fractional coordinates of all 4 atoms:
Mn1 0.000 0.000 0.000  3.69
Cd1 0.500 0.500 0.500  -0.02
Gd1 0.250 0.250 0.250  6.91
Gd2 0.750 0.750 0.750  6.91

---

Most stable structure, least stable structure: *P*, *Q*.

---

*P*
Here is a relaxed structure of NaGdCd from Alexandria via LeMat-Bulk. Energies are from PBE.

For the size of the total moment, the calculation gives 7.565 μB per cell. The symmetry is I4mm.

a = 3.460 Å, b = 3.460 Å, c = 7.764 Å
α = 102.88°, β = 102.88°, γ = 90.00°
Site moments in Bohr magnetons follow the coordinates.
Fractional coordinates of all 3 atoms:
Na1 0.017 0.017 0.035  0.00
Cd1 0.670 0.670 0.341  -0.01
Gd1 0.312 0.312 0.624  7.27

---

*Q*
Here is a relaxed structure of NaGdCd from Alexandria via LeMat-Bulk. Energies are from PBE.

For the size of the total moment, the calculation gives 7.536 μB per cell. The symmetry is P3m1.

a = 3.268 Å, b = 5.358 Å, c = 5.358 Å
α = 120.00°, β = 90.00°, γ = 90.00°
Site moments in Bohr magnetons follow the coordinates.
Fractional coordinates of all 3 atoms:
Na1 0.838 0.000 0.000  0.00
Cd1 0.829 0.667 0.333  -0.01
Gd1 0.332 0.333 0.667  7.25

---

Most stable structure, least stable structure: *P*, *Q*.

---

*P*
Here is a relaxed structure of NdGdCd2 from Alexandria via LeMat-Bulk. Energies are from PBE.

For the size of the total moment, the calculation gives 8.009 μB per cell. The symmetry is Fm-3m.

a = 5.398 Å, b = 5.398 Å, c = 5.398 Å
α = 60.00°, β = 60.00°, γ = 60.00°
Site moments in Bohr magnetons follow the coordinates.
Fractional coordinates of all 4 atoms:
Cd1 0.750 0.750 0.750  0.01
Cd2 0.250 0.250 0.250  0.01
Nd1 0.000 0.000 0.000  0.18
Gd1 0.500 0.500 0.500  7.24

---

*Q*
Here is a relaxed structure of NdGdCd2 from Alexandria via LeMat-Bulk. Energies are from PBE.

For the size of the total moment, the calculation gives 8.051 μB per cell. The symmetry is P4/mmm.

a = 3.860 Å, b = 5.368 Å, c = 5.368 Å
α = 90.00°, β = 90.00°, γ = 90.00°
Site moments in Bohr magnetons follow the coordinates.
Fractional coordinates of all 4 atoms:
Cd1 0.000 0.000 0.500  0.01
Cd2 0.000 0.500 0.000  0.01
Nd1 0.500 0.500 0.500  0.17
Gd1 0.500 0.000 0.000  7.27

---

Most stable structure, least stable structure: *P*, *Q*.

---

*P*
Here is a relaxed structure of Gd2CdOs from Alexandria via LeMat-Bulk. Energies are from PBE.

For the size of the total moment, the calculation gives 14.248 μB per cell. The symmetry is P4/mmm.

a = 3.457 Å, b = 3.457 Å, c = 7.967 Å
α = 90.00°, β = 90.00°, γ = 90.00°
Site moments in Bohr magnetons follow the coordinates.
Fractional coordinates of all 4 atoms:
Gd1 0.000 0.000 0.212  7.03
Gd2 0.000 0.000 0.788  7.03
Cd1 0.500 0.500 0.500  0.01
Os1 0.500 0.500 0.000  -0.14

---

*Q*
Here is a relaxed structure of Gd2CdOs from Alexandria via LeMat-Bulk. Energies are from PBE.

For the size of the total moment, the calculation gives 14.269 μB per cell. The symmetry is R-3m.

a = 3.997 Å, b = 3.997 Å, c = 10.072 Å
α = 78.55°, β = 78.55°, γ = 60.00°
Site moments in Bohr magnetons follow the coordinates.
Fractional coordinates of all 4 atoms:
Gd1 0.116 0.116 0.653  7.00
Gd2 0.884 0.884 0.347  7.00
Cd1 0.000 0.000 0.000  0.01
Os1 0.500 0.500 0.500  -0.10

---

*R*
Here is a relaxed structure of Gd2CdOs from Alexandria via LeMat-Bulk. Energies are from PBE.

For the size of the total moment, the calculation gives 14.117 μB per cell. The symmetry is Fm-3m.

a = 5.063 Å, b = 5.063 Å, c = 5.063 Å
α = 60.00°, β = 60.00°, γ = 60.00°
Site moments in Bohr magnetons follow the coordinates.
Fractional coordinates of all 4 atoms:
Gd1 0.250 0.250 0.250  -7.04
Gd2 0.750 0.750 0.750  -7.04
Os1 0.000 0.000 0.000  0.26
Cd1 0.500 0.500 0.500  0.00

---

Most stable structure, least stable structure: *P*, *Q*.

---

*P*
Here is a relaxed structure of Gd2CdPb from Alexandria via LeMat-Bulk. Energies are from PBE.

For the size of the total moment, the calculation gives 14.902 μB per cell. The symmetry is R-3m.

a = 3.551 Å, b = 3.551 Å, c = 11.625 Å
α = 81.21°, β = 81.21°, γ = 60.00°
Site moments in Bohr magnetons follow the coordinates.
Fractional coordinates of all 4 atoms:
Cd1 0.500 0.500 0.500  -0.01
Pb1 0.000 0.000 0.000  0.00
Gd1 0.093 0.093 0.721  7.20
Gd2 0.907 0.907 0.279  7.20

---

*Q*
Here is a relaxed structure of Gd2CdPb from Alexandria via LeMat-Bulk. Energies are from PBE.

For the size of the total moment, the calculation gives 14.936 μB per cell. The symmetry is P4/mmm.

a = 4.322 Å, b = 5.056 Å, c = 5.056 Å
α = 90.00°, β = 90.00°, γ = 90.00°
Site moments in Bohr magnetons follow the coordinates.
Fractional coordinates of all 4 atoms:
Cd1 0.500 0.000 0.000  0.00
Gd1 0.000 0.000 0.500  7.23
Gd2 0.000 0.500 0.000  7.23
Pb1 0.500 0.500 0.500  -0.06

---

Most stable structure, least stable structure: *Q*, *P*.